No. 1
Tb2ScPbC | PBE-GGA | relaxed

a = 4.6027 Å, b = 4.9500 Å, c = 4.9500 Å
α = 90.00°, β = 90.00°, γ = 90.00°
Closest atoms and distances in Å follow each position.
Fractional positions:
C (0.0000, 0.0000, 0.0000)  2 Sc 2.30, 4 Tb 2.48
Tb (0.0000, 0.5000, 0.0000)  2 C 2.48
Tb (0.0000, 0.0000, 0.5000)  2 C 2.48
Pb (0.5000, 0.5000, 0.5000)  8 Tb 3.38, 4 Sc 3.50
Sc (0.5000, 0.0000, 0.0000)  2 C 2.30

Summary:
Fermi-level density of states, states/eV per cell: 2.5
Density, Mg/m³: 8.570
Space group: No. 123
Formation energy, meV/atom: -562

No. 2
Pr10NdTm4 | PBE-GGA | relaxed

a = 10.8245 Å, b = 8.9594 Å, c = 8.9594 Å
α = 68.60°, β = 52.84°, γ = 52.84°
Closest atoms and distances in Å follow each position.
Fractional positions:
Pr (0.7126, 0.3455, 0.8902)  2 Pr 3.12-3.22, 1 Nd 3.17
Pr (0.2500, 0.5000, 0.5000)  4 Pr 3.12
Pr (0.3972, 0.8902, 0.6545)  2 Pr 3.12-3.22, 1 Nd 3.17
Pr (0.9483, 0.6545, 0.1098)  2 Pr 3.12-3.22, 1 Nd 3.17
Pr (0.2874, 0.6545, 0.1098)  2 Pr 3.12-3.22, 1 Nd 3.17
Pr (0.6028, 0.1098, 0.3455)  2 Pr 3.12-3.22, 1 Nd 3.17
Pr (0.9419, 0.1098, 0.3455)  2 Pr 3.12-3.22, 1 Nd 3.17
Pr (0.7500, 0.5000, 0.5000)  4 Pr 3.12
Pr (0.0517, 0.3455, 0.8902)  2 Pr 3.12-3.22, 1 Nd 3.17
Pr (0.0581, 0.8902, 0.6545)  2 Pr 3.12-3.22, 1 Nd 3.17
Tm (0.5547, 0.6716, 0.2190)  8 Pr 3.58-3.93, 2 Tm 3.99
Tm (0.4453, 0.3284, 0.7810)  8 Pr 3.58-3.93, 2 Tm 3.99
Tm (0.2263, 0.2190, 0.3284)  8 Pr 3.58-3.93, 2 Tm 3.99
Tm (0.7737, 0.7810, 0.6716)  8 Pr 3.58-3.93, 2 Tm 3.99
Nd (0.0000, 0.0000, 0.0000)  8 Pr 3.17

Summary:
Fermi-level density of states, states/eV per cell: 24.3
Density, Mg/m³: 6.708
Space group: No. 87
Formation energy, meV/atom: 438

No. 3
NpIn2Ag | PBE-GGA | relaxed

a = 3.1028 Å, b = 3.1028 Å, c = 10.6835 Å
α = 81.65°, β = 81.65°, γ = 60.00°
Closest atoms and distances in Å follow each position.
Fractional positions:
In (0.2560, 0.2560, 0.2320)  3 Ag 3.03, 6 In 3.10, 3 Np 3.34
In (0.7440, 0.7440, 0.7680)  3 Ag 3.03, 6 In 3.10, 3 Np 3.34
Ag (0.0000, 0.0000, 0.0000)  6 In 3.03, 6 Ag 3.10
Np (0.5000, 0.5000, 0.5000)  6 Np 3.10, 6 In 3.34

Summary:
Fermi-level density of states, states/eV per cell: 3.9
Density, Mg/m³: 10.864
Space group: No. 166
Formation energy, meV/atom: 131

No. 4
Sr2AgPt2 | PBE-GGA | relaxed

a = 7.5958 Å, b = 7.5958 Å, c = 4.3334 Å
α = 90.00°, β = 90.00°, γ = 90.00°
Closest atoms and distances in Å follow each position.
Fractional positions:
Pt (0.8732, 0.6268, 0.0000)  1 Pt 2.72, 2 Ag 2.99, 2 Sr 3.05
Pt (0.1268, 0.3732, 0.0000)  1 Pt 2.72, 2 Ag 2.99, 2 Sr 3.05
Pt (0.3732, 0.8732, 0.0000)  1 Pt 2.72, 2 Ag 2.99, 2 Sr 3.05
Pt (0.6268, 0.1268, 0.0000)  1 Pt 2.72, 2 Ag 2.99, 2 Sr 3.05
Ag (0.5000, 0.5000, 0.0000)  4 Pt 2.99
Ag (0.0000, 0.0000, 0.0000)  4 Pt 2.99
Sr (0.3262, 0.1738, 0.5000)  6 Pt 3.05-3.17
Sr (0.6738, 0.8262, 0.5000)  6 Pt 3.05-3.17
Sr (0.1738, 0.6738, 0.5000)  6 Pt 3.05-3.17
Sr (0.8262, 0.3262, 0.5000)  6 Pt 3.05-3.17

Summary:
Fermi-level density of states, states/eV per cell: 7.0
Density, Mg/m³: 8.943
Space group: No. 127
Formation energy, meV/atom: -585
Excess energy over the best structure of this formula in the dataset, meV/atom: 113

No. 5
NaAg2Sn3 | PBE-GGA | relaxed

a = 4.5158 Å, b = 7.2404 Å, c = 9.1568 Å
α = 90.00°, β = 90.00°, γ = 108.17°
Closest atoms and distances in Å follow each position.
Fractional positions:
Ag (0.0000, 0.0000, 0.5000)  6 Sn 2.98-3.04, 4 Ag 3.22, 2 Na 3.30
Ag (0.5117, 0.0234, 0.2500)  6 Sn 2.93-3.13, 2 Na 3.17, 4 Ag 3.22
Ag (0.4883, 0.9766, 0.7500)  6 Sn 2.93-3.13, 2 Na 3.17, 4 Ag 3.22
Ag (0.0000, 0.0000, 0.0000)  6 Sn 2.98-3.04, 4 Ag 3.22, 2 Na 3.30
Sn (0.6413, 0.2826, 0.9957)  4 Ag 2.93-3.08, 2 Sn 3.19, 2 Na 3.27
Sn (0.8545, 0.7091, 0.2500)  4 Ag 3.04-3.13, 4 Sn 3.19, 2 Na 3.37
Sn (0.6413, 0.2826, 0.5043)  4 Ag 2.93-3.08, 2 Sn 3.19, 2 Na 3.27
Sn (0.3587, 0.7174, 0.0043)  4 Ag 2.93-3.08, 2 Sn 3.19, 2 Na 3.27
Sn (0.3587, 0.7174, 0.4957)  4 Ag 2.93-3.08, 2 Sn 3.19, 2 Na 3.27
Sn (0.1455, 0.2909, 0.7500)  4 Ag 3.04-3.13, 4 Sn 3.19, 2 Na 3.37
Na (0.1729, 0.3458, 0.2500)  4 Ag 3.17-3.30, 8 Sn 3.27-3.41
Na (0.8271, 0.6542, 0.7500)  4 Ag 3.17-3.30, 8 Sn 3.27-3.41

Summary:
Fermi-level density of states, states/eV per cell: 4.4
Density, Mg/m³: 6.945
Space group: No. 63
Formation energy, meV/atom: -43
Excess energy over the best structure of this formula in the dataset, meV/atom: 0

No. 6
Cs2RbHfCl8 | PBE-GGA | relaxed

a = 7.3947 Å, b = 6.5067 Å, c = 9.4803 Å
α = 75.01°, β = 90.77°, γ = 89.86°
Closest atoms and distances in Å follow each position.
Fractional positions:
Cs (0.4985, 0.6371, 0.2028)  7 Cl 3.44-3.78
Cs (0.5015, 0.3629, 0.7972)  7 Cl 3.44-3.78
Cl (0.9968, 0.2996, 0.7758)  1 Hf 2.48
Cl (0.2235, 0.8198, 0.8821)  1 Hf 2.46
Cl (0.0032, 0.7004, 0.2242)  1 Hf 2.48
Cl (0.7540, 0.8376, 0.8897)  1 Hf 2.46
Cl (0.2460, 0.1624, 0.1103)  1 Hf 2.46
Cl (0.4259, 0.1852, 0.4904)  1 Cl 2.61
Cl (0.5741, 0.8148, 0.5096)  1 Cl 2.61
Cl (0.7765, 0.1802, 0.1179)  1 Hf 2.46
Rb (0.0000, 0.0000, 0.5000)  4 Cl 3.37-3.64
Hf (0.0000, 0.0000, 0.0000)  6 Cl 2.46-2.48

Summary:
Density, Mg/m³: 3.066
Raw formation energy, eV per formula unit: -21.32
Space group: No. 2

No. 7
InFeTc2C | PBE-GGA | relaxed

a = 4.1545 Å, b = 4.1545 Å, c = 3.8964 Å
α = 90.00°, β = 90.00°, γ = 90.00°
Closest atoms and distances in Å follow each position.
Fractional positions:
Tc (0.5000, 0.0000, 0.0000)  2 C 2.08
Tc (0.0000, 0.5000, 0.0000)  2 C 2.08
In (0.5000, 0.5000, 0.5000)  8 Tc 2.85, 4 Fe 2.94
Fe (0.0000, 0.0000, 0.5000)  2 C 1.95
C (0.0000, 0.0000, 0.0000)  2 Fe 1.95, 4 Tc 2.08

Summary:
Fermi-level density of states, states/eV per cell: 3.9
Density, Mg/m³: 9.350
Space group: No. 123
Formation energy, meV/atom: 131

No. 8
YSi2Pt2 | PBE-GGA | relaxed

a = 4.2093 Å, b = 4.2093 Å, c = 9.8387 Å
α = 90.00°, β = 90.00°, γ = 90.00°
Closest atoms and distances in Å follow each position.
Fractional positions:
Pt (0.7500, 0.2500, 0.0000)  4 Si 2.48
Pt (0.2500, 0.7500, 0.0000)  4 Si 2.48
Pt (0.7500, 0.7500, 0.3763)  5 Si 2.39-2.43
Pt (0.2500, 0.2500, 0.6237)  5 Si 2.39-2.43
Y (0.7500, 0.7500, 0.7467)  8 Si 3.20-3.21, 8 Pt 3.21-3.26
Y (0.2500, 0.2500, 0.2533)  8 Si 3.20-3.21, 8 Pt 3.21-3.26
Si (0.7500, 0.2500, 0.5000)  4 Pt 2.43
Si (0.2500, 0.2500, 0.8667)  5 Pt 2.39-2.48
Si (0.2500, 0.7500, 0.5000)  4 Pt 2.43
Si (0.7500, 0.7500, 0.1333)  5 Pt 2.39-2.48

Summary:
Fermi-level density of states, states/eV per cell: 7.1
Density, Mg/m³: 10.197
Raw formation energy, eV per formula unit: -5.50
Space group: No. 129